1.
An optimized crystal structure of LaAg2Au, computed with PBE.

Unit cell a=4.274 b=4.274 c=21.474 alpha=90.00 beta=90.00 gamma=90.00
Space group I-42d (No. 122)
One atom of each set of equivalent atoms:
La1 0.000 0.000 0.000
Ag1 0.216 0.250 0.625
Au1 0.000 0.000 0.500

The calculation puts the formation energy at -63 kJ/mol of formula units. As for the energy above the most stable polymorph in this dataset: 0.2576 eV per atom.

***

2.
An optimized crystal structure of Zn5Fe2, computed with PBE.

Unit cell a=8.712 b=8.712 c=2.573 alpha=90.00 beta=90.00 gamma=90.00
Space group P4/mbm (No. 127)
One atom of each set of equivalent atoms:
Zn1 0.000 0.500 0.000
Zn2 0.061 0.209 0.000
Fe1 0.182 0.682 0.500

The calculation puts the formation energy at -2 kJ/mol of formula units.

***

3.
An optimized crystal structure of ZnTc2C, computed with PBE.

Unit cell a=2.8924 b=2.8924 c=20.8333 alpha=90.00 beta=90.00 gamma=120.00
Space group R3m (No. 160, hexagonal axes)
One atom of each set of equivalent atoms:
Zn1 0.0000 0.0000 0.0000
Tc1 0.0000 0.0000 0.5607
Tc2 0.0000 0.0000 0.7722
C1 0.0000 0.0000 0.1661

The calculation puts the formation energy at 54 kJ/mol of formula units. As for the energy above the most stable polymorph in this dataset: 0.0000 eV per atom.

***

4.
An optimized crystal structure of LiTa4, computed with PBE.

Unit cell a=4.434 b=4.434 c=4.434 alpha=90.00 beta=90.00 gamma=90.00
Space group Pm-3m (No. 221)
One atom of each set of equivalent atoms:
Li1 0.000 0.000 0.000
Ta1 0.000 0.000 0.500
Ta2 0.500 0.500 0.500

The calculation puts the formation energy at 518 kJ/mol of formula units. As for the energy above the most stable polymorph in this dataset: 0.0000 eV per atom.

***

5.
An optimized crystal structure of GdMgAu2, computed with PBE.

Unit cell a=7.003 b=7.003 c=7.003 alpha=90.00 beta=90.00 gamma=90.00
Space group Fm-3m (No. 225)
One atom of each set of equivalent atoms:
Gd1 0.000 0.000 0.000
Mg1 0.000 0.000 0.500
Au1 0.250 0.250 0.250

The calculation puts the formation energy at -292 kJ/mol of formula units.

***

6.
An optimized crystal structure of TcH2PtO, computed with PBE.

Unit cell a=3.191 b=3.191 c=5.883 alpha=90.00 beta=90.00 gamma=90.00
Space group P4/mmm (No. 123)
One atom of each set of equivalent atoms:
Tc1 0.000 0.000 0.000
H1 0.000 0.500 0.500
Pt1 0.500 0.500 0.500
O1 0.500 0.500 0.000

The total energy is -26.4 eV per cell.

***

7.
An optimized crystal structure of NiPb2Se, computed with PBE.

Unit cell a=3.882 b=5.601 c=8.884 alpha=90.00 beta=90.00 gamma=90.00
Space group Amm2 (No. 38)
One atom of each set of equivalent atoms:
Ni1 0.000 0.000 0.000
Pb1 0.000 0.000 0.536
Pb2 0.500 0.000 0.211
Se1 0.500 0.000 0.846

The total energy is -34.0 eV per cell.

***

8.
An optimized crystal structure of BeAl2Tl, computed with PBE.

Unit cell a=11.947 b=2.942 c=4.524 alpha=90.00 beta=111.80 gamma=90.00
Space group C2/m (No. 12)
One atom of each set of equivalent atoms:
Be1 0.000 0.000 0.000
Al1 0.201 0.500 0.202
Tl1 0.000 0.500 0.500

The calculation puts the formation energy at 164 kJ/mol of formula units. As for the energy above the most stable polymorph in this dataset: 0.0934 eV per atom.

***

9.
An optimized crystal structure of NaAl2Ag2, computed with PBE.

Unit cell a=8.065 b=8.065 c=2.855 alpha=90.00 beta=90.00 gamma=90.00
Space group P4/mbm (No. 127)
One atom of each set of equivalent atoms:
Na1 0.000 0.000 0.000
Al1 0.122 0.378 0.000
Ag1 0.175 0.675 0.500

The calculation puts the formation energy at -41 kJ/mol of formula units. As for the energy above the most stable polymorph in this dataset: 0.0000 eV per atom.

***

10.
An optimized crystal structure of Al2SbRu, computed with PBE.

Unit cell a=3.140 b=3.698 c=6.145 alpha=90.00 beta=90.00 gamma=90.00
Space group Pmm2 (No. 25)
One atom of each set of equivalent atoms:
Al1 0.000 0.000 0.000
Al2 0.500 0.500 0.256
Sb1 0.500 0.500 0.722
Ru1 0.000 0.000 0.399

The total energy is -21.1 eV per cell.